# 1
Rb3MnCd: optimized geometry, PBE.

Unit cell a=6.9602 b=6.9602 c=6.9602 alpha=90.00 beta=90.00 gamma=90.00
Space group Pm-3m (No. 221)
Asymmetric unit:
Rb: 0.0000 0.0000 0.5000 (multiplicity 3)
Mn: 0.5000 0.5000 0.5000 (multiplicity 1)
Cd: 0.0000 0.0000 0.0000 (multiplicity 1)

Properties
For the formation energy, the calculation gives 0.695 eV per atom.

# 2
RbMnCdRu2: optimized geometry, PBE.

Unit cell a=5.0973 b=5.0973 c=5.8047 alpha=90.00 beta=90.00 gamma=90.00
Space group P4/mmm (No. 123)
Asymmetric unit:
Rb: 0.0000 0.0000 0.0000 (multiplicity 1)
Mn: 0.5000 0.5000 0.0000 (multiplicity 1)
Cd: 0.0000 0.0000 0.5000 (multiplicity 1)
Ru: 0.0000 0.5000 0.5000 (multiplicity 2)

Properties
For the formation energy, the calculation gives 2.035 eV per atom.

# 3
RbMnCdTe3: optimized geometry, PBE.

Unit cell a=8.4092 b=4.1720 c=12.9775 alpha=90.00 beta=107.03 gamma=90.00
Space group P2_1/m (No. 11)
Asymmetric unit:
Rb: 0.0153 0.2500 0.3000 (multiplicity 2)
Mn: 0.4625 0.2500 0.1132 (multiplicity 2)
Cd: 0.4918 0.7500 0.3876 (multiplicity 2)
Te: 0.2745 0.7500 0.5311 (multiplicity 2)
Te: 0.2898 0.7500 0.1690 (multiplicity 2)
Te: 0.3216 0.2500 0.8887 (multiplicity 2)

Properties
The uncorrected formation energy comes out at -0.477 eV/atom.

# 4
RbY2MnCd: optimized geometry, PBE.

Unit cell a=5.4855 b=5.4855 c=4.4351 alpha=90.00 beta=90.00 gamma=90.00
Space group P4/mmm (No. 123)
Asymmetric unit:
Rb: 0.0000 0.0000 0.0000 (multiplicity 1)
Y: 0.0000 0.5000 0.0000 (multiplicity 2)
Mn: 0.0000 0.0000 0.5000 (multiplicity 1)
Cd: 0.5000 0.5000 0.5000 (multiplicity 1)

Properties
For the formation energy, the calculation gives 1.675 eV per atom.

# 5
Mn2CdRe: optimized geometry, PBE.

Unit cell a=2.9265 b=4.4636 c=9.0445 alpha=90.00 beta=90.00 gamma=90.00
Space group Imm2 (No. 44)
Asymmetric unit:
Mn: 0.0000 0.0000 0.0000 (multiplicity 2)
Mn: 0.0000 0.5000 0.2638 (multiplicity 2)
Cd: 0.0000 0.0000 0.4978 (multiplicity 2)
Re: 0.0000 0.5000 0.7219 (multiplicity 2)

Properties
For the formation energy, the calculation gives 0.428 eV per atom.

# 6
MnCdRe2: optimized geometry, PBE.

Unit cell a=2.8354 b=2.8354 c=27.7138 alpha=90.00 beta=90.00 gamma=120.00
Space group R3m (No. 160, hexagonal axes)
Asymmetric unit:
Mn: 0.0000 0.0000 0.0000 (multiplicity 3)
Cd: 0.0000 0.0000 0.7541 (multiplicity 3)
Re: 0.0000 0.0000 0.2548 (multiplicity 3)
Re: 0.0000 0.0000 0.5129 (multiplicity 3)

Properties
For the formation energy, the calculation gives 0.273 eV per atom.

Question: Number 2 is which compound?
Answer: RbMnCdRu2